1.
First-principles (PBE) data for a relaxed structure of ZrSb3, as listed in the Alexandria database.

Cell and atoms, written as POSCAR:
```
ZrSb3
1.0
-1.916 0.419 -4.854
-4.933 -1.441 -1.001
-3.618 3.627 -1.082
Sb Zr
3 1
Direct
0.000 0.000 0.000
0.250 0.250 0.250
0.500 0.500 0.500
0.750 0.750 0.750
```

Summary:
**Formation energy without anion corrections**: 8.31 kJ/mol of atoms
**Final energy**: -5.1427 eV per atom



2.
First-principles (PBE) data for a relaxed structure of ZrSb4, as listed in the Alexandria database.

Cell and atoms, written as POSCAR:
```
ZrSb4
1.0
-5.470 -7.598 3.826
-7.507 -2.871 6.140
4.652 5.485 -7.111
Zr Sb
1 4
Direct
0.000 0.000 0.000
0.750 0.250 0.500
0.250 0.750 0.500
0.575 0.575 0.000
0.425 0.425 0.000
```

Summary:
**Formation energy without anion corrections**: 11.19 kJ/mol of atoms
**Final energy**: -4.8916 eV per atom



3.
First-principles (PBE) data for a relaxed structure of ZrSb3, as listed in the Alexandria database.

Cell and atoms, written as POSCAR:
```
ZrSb3
1.0
-1.769 -1.178 2.585
2.291 -1.938 -1.482
7.547 3.689 6.845
Sb Zr
3 1
Direct
0.000 0.000 0.970
0.000 0.000 0.530
0.667 0.333 0.250
0.667 0.333 0.750
```

Summary:
**Formation energy without anion corrections**: 1.93 kJ/mol of atoms
**Final energy**: -5.2088 eV per atom



4.
First-principles (PBE) data for a relaxed structure of ZrSb2, as listed in the Alexandria database.

Cell and atoms, written as POSCAR:
```
ZrSb2
1.0
4.082 -7.071 0.000
4.082 7.071 0.000
0.000 0.000 3.844
Zr Sb
3 6
Direct
0.333 0.667 0.000
0.667 0.333 0.000
0.000 0.000 0.500
0.269 0.000 0.000
0.000 0.269 0.000
0.731 0.731 0.000
0.599 0.000 0.500
0.000 0.599 0.500
0.401 0.401 0.500
```

Summary:
**Formation energy without anion corrections**: -37.30 kJ/mol of atoms
**Final energy**: -5.9842 eV per atom



5.
First-principles (PBE) data for a relaxed structure of ZrSb, as listed in the Alexandria database.

Cell and atoms, written as POSCAR:
```
ZrSb
1.0
4.904 0.000 0.000
0.000 3.718 -0.028
0.000 1.907 5.239
Sb Zr
2 2
Direct
0.750 0.394 0.211
0.250 0.606 0.789
0.750 0.116 0.770
0.250 0.884 0.230
```

Summary:
**Formation energy without anion corrections**: -53.04 kJ/mol of atoms
**Final energy**: -6.8850 eV per atom



6.
First-principles (PBE) data for a relaxed structure of Zr2Sb3, as listed in the Alexandria database.

Cell and atoms, written as POSCAR:
```
Zr2Sb3
1.0
0.000 6.324 6.902
2.927 0.000 6.902
2.927 6.324 0.000
Zr Sb
4 6
Direct
0.578 0.251 0.016
0.154 0.016 0.251
0.234 0.096 0.672
0.999 0.672 0.096
0.673 0.740 0.066
0.521 0.066 0.740
0.184 0.729 0.577
0.510 0.577 0.729
0.074 0.426 0.426
0.824 0.176 0.176
```

Summary:
**Formation energy without anion corrections**: -35.80 kJ/mol of atoms
**Final energy**: -6.2638 eV per atom



7.
First-principles (PBE) data for a relaxed structure of ZrSb2, as listed in the Alexandria database.

Cell and atoms, written as POSCAR:
```
ZrSb2
1.0
1.964 5.330 -0.012
-1.964 5.330 -0.012
0.000 0.020 7.313
Zr Sb
2 4
Direct
0.042 0.042 0.529
0.235 0.235 0.029
0.944 0.944 0.920
0.334 0.334 0.419
0.695 0.695 0.718
0.583 0.583 0.219
```

Summary:
**Formation energy without anion corrections**: -32.23 kJ/mol of atoms
**Final energy**: -5.9317 eV per atom



8.
First-principles (PBE) data for a relaxed structure of ZrSb, as listed in the Alexandria database.

Cell and atoms, written as POSCAR:
```
ZrSb
1.0
-9.853 -2.677 2.775
0.104 -7.797 -7.151
1.487 -2.558 2.811
Zr Sb
8 8
Direct
0.384 0.861 0.000
0.616 0.139 0.000
0.139 0.384 0.000
0.861 0.616 0.000
0.884 0.361 0.500
0.116 0.639 0.500
0.639 0.884 0.500
0.361 0.116 0.500
0.400 0.303 0.000
0.600 0.697 0.000
0.697 0.400 0.000
0.303 0.600 0.000
0.900 0.803 0.500
0.100 0.197 0.500
0.197 0.900 0.500
0.803 0.100 0.500
```

Summary:
**Formation energy without anion corrections**: -17.86 kJ/mol of atoms
**Final energy**: -6.5203 eV per atom